(1)
# Ta3GaB2 | OQMD via LeMat-Bulk | PBE | optimized geometry
data_Ta3GaB2
_cell_length_a 3.2488
_cell_length_b 3.2488
_cell_length_c 18.6106
_cell_angle_alpha 90.00
_cell_angle_beta 90.00
_cell_angle_gamma 120.00
_space_group_name_H-M_alt 'P 63/m m c'
_space_group_IT_number 194
_space_group_name_Hall '-P 6c 2c'
loop_
_atom_site_label
_atom_site_fract_x
_atom_site_fract_y
_atom_site_fract_z
_atom_site_occupancy
Ta1 0.0000 0.0000 0.0000 1
Ta2 0.3333 0.6667 0.1365 1
Ga1 0.0000 0.0000 0.2500 1
B1 0.3333 0.6667 0.5726 1
# - energy (eV per formula unit) = -55.24
# - crystal system = hexagonal
# - spin magnetization (Bohr magnetons per cell) = 0.00

=====

(2)
# BaTbAuSe2S | OQMD via LeMat-Bulk | PBE | optimized geometry
data_BaTbAuSe2S
_cell_length_a 4.226
_cell_length_b 14.168
_cell_length_c 10.542
_cell_angle_alpha 90.00
_cell_angle_beta 90.00
_cell_angle_gamma 90.00
_space_group_name_H-M_alt 'C m c m'
_space_group_IT_number 63
_space_group_name_Hall '-C 2c 2'
loop_
_atom_site_label
_atom_site_fract_x
_atom_site_fract_y
_atom_site_fract_z
_atom_site_occupancy
Ba1 0.000 0.242 0.250 1
Tb1 0.000 0.500 0.000 1
Au1 0.000 0.031 0.750 1
Se1 0.000 0.140 0.549 1
S1 0.000 0.426 0.750 1
# - energy (eV per formula unit) = -30.16
# - crystal system = orthorhombic
# - spin magnetization (Bohr magnetons per cell) = 0.03